VASP calculation (GGA-PBE) on a relaxed Pm8NdDy4 crystal.

Formation energy ... 4.10 kcal/mol of atoms

Cell: 7.3745 7.3745 28.0798 Å, 90.00 90.00 120.00°
With the nearest neighbours (Å) after each atom.
Space group R-3m (No. 166, hexagonal axes)
Asymmetric unit:
Pm (0.0000, 0.0000, 0.2163) [6 per cell]  9 Pm 3.73-3.79, 3 Dy 3.92
Pm (0.0346, 0.5173, 0.7663) [18 per cell]  1 Nd 3.01, 2 Pm 3.30
Nd (0.0000, 0.0000, 0.5000) [3 per cell]  6 Pm 3.01
Dy (0.0000, 0.0000, 0.0000) [3 per cell]  6 Pm 3.39, 6 Dy 3.69
Dy (0.0000, 0.5000, 0.0000) [9 per cell]  6 Pm 3.59-3.92, 6 Dy 3.69